(1)
VASP calculation (PBE) on ZrGe2Pd2 after structural relaxation.

Structure (extended XYZ):
```
10
Lattice="7.507 0.000 0.000 0.000 7.507 0.000 0.000 0.000 3.004" Properties=species:S:1:pos:R:3 pbc="T T T"
Ge 2.627 6.380 0.000
Ge 6.380 4.880 0.000
Ge 4.880 1.126 0.000
Ge 1.126 2.627 0.000
Zr 0.000 0.000 0.000
Zr 3.753 3.753 0.000
Pd 1.099 4.852 1.502
Pd 4.852 6.408 1.502
Pd 6.408 2.654 1.502
Pd 2.654 1.099 1.502
```

Values from the calculation:
symmetry: P4/mbm
uncorrected energy: -6.10 eV per atom
formation energy from the elements: -2.3 eV/f.u.
V: 169.29 Å³/cell

=====

(2)
VASP calculation (PBE) on ZrGe2Pd4 after structural relaxation.

Structure (extended XYZ):
```
14
Lattice="3.879 0.000 0.000 0.000 7.768 0.000 0.000 0.000 7.768" Properties=species:S:1:pos:R:3 pbc="T T T"
Zr 1.940 0.000 0.000
Zr 0.000 3.884 3.884
Ge 0.000 1.700 6.068
Ge 0.000 6.068 1.700
Ge 1.940 5.584 5.584
Ge 1.940 2.184 2.184
Pd 0.000 0.626 2.555
Pd 0.000 7.142 5.213
Pd 1.940 1.329 4.510
Pd 1.940 6.439 3.258
Pd 1.940 3.258 6.439
Pd 1.940 4.510 1.329
Pd 0.000 2.555 0.626
Pd 0.000 5.213 7.142
```

Values from the calculation:
symmetry: P4_2/mnm
uncorrected energy: -6.05 eV per atom
formation energy from the elements: -3.8 eV/f.u.
V: 234.08 Å³/cell

=====

(3)
VASP calculation (PBE) on ZrGePd after structural relaxation.

Structure (extended XYZ):
```
12
Lattice="-1.253 3.772 -0.268 -4.723 -1.239 4.641 4.988 2.057 5.625" Properties=species:S:1:pos:R:3 pbc="T T T"
Ge -0.096 3.706 8.197
Ge -1.991 0.785 5.545
Ge -0.891 0.884 1.801
Ge 1.003 3.805 4.453
Zr -1.581 2.897 3.757
Zr 0.593 1.692 6.241
Zr -4.602 2.006 5.333
Zr 3.615 2.584 4.665
Pd 1.207 1.670 3.062
Pd -3.041 0.273 3.255
Pd 2.053 4.317 6.744
Pd -2.194 2.919 6.936
```

Values from the calculation:
symmetry: Pnma
uncorrected energy: -7.02 eV per atom
formation energy from the elements: -2.7 eV/f.u.
V: 209.16 Å³/cell

=====

(4)
VASP calculation (PBE) on Zr2Ge2Pd3 after structural relaxation.

Structure (extended XYZ):
```
7
Lattice="3.946 0.000 0.000 -1.973 4.939 0.125 0.000 -0.976 6.195" Properties=species:S:1:pos:R:3 pbc="T T T"
Zr 1.973 0.886 2.024
Zr 0.000 3.078 4.297
Ge 0.000 0.325 4.045
Ge 1.973 3.639 2.275
Pd 0.000 2.894 0.921
Pd 0.000 0.000 0.000
Pd 1.973 1.069 5.400
```

Values from the calculation:
symmetry: C2/m
uncorrected energy: -6.69 eV per atom
formation energy from the elements: -4.9 eV/f.u.
V: 121.23 Å³/cell

=====

(5)
VASP calculation (PBE) on ZrGe2Pd3 after structural relaxation.

Structure (extended XYZ):
```
12
Lattice="3.751 0.000 0.000 0.000 6.817 0.000 0.000 0.000 7.884" Properties=species:S:1:pos:R:3 pbc="T T T"
Zr 1.875 3.627 4.580
Zr 1.875 0.218 3.303
Ge 1.875 5.250 7.046
Ge 1.875 1.841 0.837
Ge 0.000 1.570 5.030
Ge 0.000 4.979 2.854
Pd 0.000 3.373 6.981
Pd 0.000 6.782 0.903
Pd 1.875 4.278 1.387
Pd 1.875 0.869 6.497
Pd 0.000 2.352 2.577
Pd 0.000 5.761 5.306
```

Values from the calculation:
symmetry: Pmc2_1
uncorrected energy: -6.19 eV per atom
formation energy from the elements: -3.8 eV/f.u.
V: 201.58 Å³/cell

=====

(6)
VASP calculation (PBE) on ZrGePd after structural relaxation.

Structure (extended XYZ):
```
3
Lattice="3.135 0.000 0.000 0.000 4.144 0.000 -1.568 -2.072 4.153" Properties=species:S:1:pos:R:3 pbc="T T T"
Zr 1.568 2.072 4.147
Pd 1.568 2.072 1.380
Ge 0.000 0.000 2.779
```

Values from the calculation:
symmetry: Imm2
uncorrected energy: -6.62 eV per atom
formation energy from the elements: -1.5 eV/f.u.
V: 53.95 Å³/cell

=====

(7)
VASP calculation (PBE) on Zr2GePd2 after structural relaxation.

Structure (extended XYZ):
```
10
Lattice="-2.486 -7.223 0.634 2.434 -0.200 7.266 -2.977 1.115 1.028" Properties=species:S:1:pos:R:3 pbc="T T T"
Ge 0.000 0.000 0.000
Ge -0.026 -3.712 3.950
Zr 1.200 -2.549 6.239
Zr -0.432 -6.129 5.395
Zr -1.252 -4.875 1.661
Zr 0.380 -1.295 2.505
Pd -0.278 -0.487 5.152
Pd -0.923 -4.148 7.254
Pd -2.751 -5.822 3.776
Pd -2.106 -2.161 1.674
```

Values from the calculation:
symmetry: P4/mbm
uncorrected energy: -6.87 eV per atom
formation energy from the elements: -2.2 eV/f.u.
V: 196.35 Å³/cell

=====

(8)
VASP calculation (PBE) on Zr4GePd after structural relaxation.

Structure (extended XYZ):
```
12
Lattice="5.464 0.000 0.000 0.000 6.693 0.000 0.000 0.000 6.693" Properties=species:S:1:pos:R:3 pbc="T T T"
Zr 0.000 1.058 4.389
Zr 0.000 5.635 2.304
Zr 0.000 2.304 1.058
Zr 0.000 4.389 5.635
Zr 2.732 5.635 4.389
Zr 2.732 1.058 2.304
Zr 2.732 4.389 1.058
Zr 2.732 2.304 5.635
Ge 1.366 3.347 3.347
Ge 4.098 3.347 3.347
Pd 1.366 0.000 0.000
Pd 4.098 0.000 0.000
```

Values from the calculation:
symmetry: P4/mcc
uncorrected energy: -7.90 eV per atom
formation energy from the elements: -3.4 eV/f.u.
V: 244.76 Å³/cell

=====

(9)
VASP calculation (PBE) on ZrGePd after structural relaxation.

Structure (extended XYZ):
```
3
Lattice="-2.974 0.607 0.857 0.340 -2.928 3.250 1.061 4.198 0.710" Properties=species:S:1:pos:R:3 pbc="T T T"
Ge 0.325 1.923 1.699
Zr -1.403 -0.148 2.975
Pd -0.497 0.101 0.143
```

Values from the calculation:
symmetry: P-6m2
uncorrected energy: -6.92 eV per atom
formation energy from the elements: -2.4 eV/f.u.
V: 52.58 Å³/cell

=====

(10)
VASP calculation (PBE) on PmGe3 after structural relaxation.

Structure (extended XYZ):
```
4
Lattice="-2.939 -2.751 0.547 2.020 -1.414 3.741 -2.481 3.154 2.532" Properties=species:S:1:pos:R:3 pbc="T T T"
Ge -0.309 0.393 0.315
Ge -0.170 0.794 3.075
Ge -0.708 -1.767 2.398
Pm -3.039 0.620 1.875
```

Values from the calculation:
symmetry: Pmm2
uncorrected energy: -5.07 eV per atom
formation energy from the elements: -1.7 eV/f.u.
V: 86.37 Å³/cell

=====

(11)
VASP calculation (PBE) on Pm5Ge after structural relaxation.

Structure (extended XYZ):
```
6
Lattice="-4.110 -1.409 -2.195 1.628 -4.503 -0.157 -3.997 0.861 6.930" Properties=species:S:1:pos:R:3 pbc="T T T"
Ge 0.000 0.000 0.000
Pm -3.408 -3.903 3.489
Pm -0.181 -2.686 2.062
Pm -1.241 -2.956 -1.176
Pm -2.189 -0.956 4.711
Pm -3.071 -1.148 1.089
```

Values from the calculation:
symmetry: Cmmm
uncorrected energy: -4.91 eV per atom
formation energy from the elements: -1.1 eV/f.u.
V: 179.15 Å³/cell

=====

(12)
VASP calculation (PBE) on Pm3Ge5 after structural relaxation.

Structure (extended XYZ):
```
16
Lattice="-0.217 0.564 5.891 1.946 -6.400 3.662 8.381 2.899 3.008" Properties=species:S:1:pos:R:3 pbc="T T T"
Pm 6.088 0.006 9.111
Pm 3.438 -1.118 6.231
Pm 8.550 -2.736 10.953
Pm 3.031 -5.059 5.105
Pm 5.818 -3.989 8.039
Pm 0.709 -2.379 3.231
Ge 8.228 -1.960 7.988
Ge 2.689 -3.679 7.839
Ge 5.957 0.840 6.147
Ge 3.124 -0.361 3.072
Ge 1.183 0.255 4.753
Ge 7.324 2.091 4.267
Ge 4.141 -2.649 3.652
Ge 6.420 -1.688 6.084
Ge 3.977 2.001 7.397
Ge 0.814 -2.790 6.251
```

Values from the calculation:
symmetry: Fdd2
uncorrected energy: -5.41 eV per atom
formation energy from the elements: -6.0 eV/f.u.
V: 369.75 Å³/cell

=====

(13)
VASP calculation (PBE) on PmGe3 after structural relaxation.

Structure (extended XYZ):
```
4
Lattice="-0.897 -2.699 3.042 3.202 -2.390 -1.177 1.816 5.013 2.133" Properties=species:S:1:pos:R:3 pbc="T T T"
Ge 1.036 -0.116 3.054
Ge 3.085 0.039 0.944
Ge 1.152 -2.545 0.933
Pm 0.000 0.000 0.000
```

Values from the calculation:
symmetry: I4/mmm
uncorrected energy: -4.99 eV per atom
formation energy from the elements: -1.4 eV/f.u.
V: 85.51 Å³/cell

=====

(14)
VASP calculation (PBE) on PmGe after structural relaxation.

Structure (extended XYZ):
```
8
Lattice="-1.178 -3.838 -0.548 0.332 -0.939 5.865 -7.852 2.294 0.812" Properties=species:S:1:pos:R:3 pbc="T T T"
Pm -7.019 -1.829 5.429
Pm -5.516 0.244 2.659
Pm -3.181 -2.727 3.470
Pm -1.679 -0.654 0.700
Ge -4.459 -1.951 0.779
Ge -4.239 -0.532 5.350
Ge -0.387 -1.471 3.642
Ge -8.311 -1.012 2.487
```

Values from the calculation:
symmetry: Pnma
uncorrected energy: -5.55 eV per atom
formation energy from the elements: -1.7 eV/f.u.
V: 198.14 Å³/cell

=====

(15)
VASP calculation (PBE) on Pm7Ge5 after structural relaxation.

Structure (extended XYZ):
```
12
Lattice="4.214 0.000 0.000 -2.107 7.013 -0.088 0.000 -3.293 11.998" Properties=species:S:1:pos:R:3 pbc="T T T"
Pm 0.000 1.553 7.696
Pm 2.107 2.167 4.214
Pm 2.107 5.682 2.517
Pm 0.000 -1.962 9.392
Pm 2.107 2.028 0.578
Pm 2.107 -1.647 5.999
Pm 0.000 1.692 11.332
Ge 0.000 0.240 5.085
Ge 2.107 3.480 6.825
Ge 0.000 3.589 2.287
Ge 2.107 0.131 9.623
Ge 0.000 0.000 0.000
```

Values from the calculation:
symmetry: C2/m
uncorrected energy: -5.38 eV per atom
formation energy from the elements: -8.2 eV/f.u.
V: 353.37 Å³/cell

=====

(16)
VASP calculation (PBE) on PmGe3 after structural relaxation.

Structure (extended XYZ):
```
8
Lattice="3.962 0.000 0.000 0.000 4.014 -0.828 0.000 0.183 11.030" Properties=species:S:1:pos:R:3 pbc="T T T"
Pm 0.990 2.374 1.367
Pm 2.971 1.822 8.836
Ge 0.990 0.838 4.062
Ge 2.971 3.359 6.140
Ge 2.971 0.162 0.784
Ge 0.990 4.035 9.418
Ge 2.971 2.852 3.684
Ge 0.990 1.344 6.518
```

Values from the calculation:
symmetry: Cmcm
uncorrected energy: -5.12 eV per atom
formation energy from the elements: -1.9 eV/f.u.
V: 175.99 Å³/cell

=====

(17)
VASP calculation (PBE) on PmGe2 after structural relaxation.

Structure (extended XYZ):
```
3
Lattice="3.576 0.000 0.000 0.000 3.576 0.000 -1.788 -1.788 5.189" Properties=species:S:1:pos:R:3 pbc="T T T"
Ge 1.788 1.788 2.058
Ge 0.000 0.000 3.130
Pm 0.000 0.000 0.000
```

Values from the calculation:
symmetry: I4/mmm
uncorrected energy: -5.07 eV per atom
formation energy from the elements: -1.2 eV/f.u.
V: 66.34 Å³/cell

=====

(18)
VASP calculation (PBE) on Pm5Ge2 after structural relaxation.

Structure (extended XYZ):
```
14
Lattice="6.535 0.000 0.000 0.000 7.987 0.070 -3.267 -1.144 7.975" Properties=species:S:1:pos:R:3 pbc="T T T"
Pm 0.768 3.187 1.524
Pm -2.500 -0.339 6.486
Pm -0.678 4.906 4.487
Pm 2.590 5.930 3.593
Pm 3.945 1.936 3.558
Pm 0.678 0.912 4.452
Pm 5.767 7.181 1.559
Pm 2.500 3.655 6.522
Pm 3.989 1.997 0.018
Pm 2.546 5.990 0.053
Ge -1.231 2.427 6.316
Ge 2.036 0.422 1.694
Ge 4.499 4.415 1.729
Ge 1.231 6.421 6.351
```

Values from the calculation:
symmetry: C2/c
uncorrected energy: -5.23 eV per atom
formation energy from the elements: -3.6 eV/f.u.
V: 416.75 Å³/cell

=====

(19)
VASP calculation (PBE) on Pm2Ge after structural relaxation.

Structure (extended XYZ):
```
3
Lattice="3.992 0.000 0.000 0.000 3.992 0.000 -1.996 -1.996 4.879" Properties=species:S:1:pos:R:3 pbc="T T T"
Ge 0.000 0.000 0.000
Pm 1.996 1.996 1.462
Pm 0.000 0.000 3.418
```

Values from the calculation:
symmetry: I4/mmm
uncorrected energy: -5.15 eV per atom
formation energy from the elements: -1.3 eV/f.u.
V: 77.75 Å³/cell

=====

(20)
VASP calculation (PBE) on Pm2Ge after structural relaxation.

Structure (extended XYZ):
```
12
Lattice="4.500 0.000 0.000 0.000 7.883 0.000 0.000 0.000 9.473" Properties=species:S:1:pos:R:3 pbc="T T T"
Pm 3.375 3.639 6.324
Pm 1.125 0.302 1.588
Pm 3.375 7.581 7.885
Pm 1.125 4.243 3.149
Pm 3.375 2.855 0.666
Pm 1.125 1.086 5.402
Pm 3.375 6.797 4.071
Pm 1.125 5.028 8.807
Ge 3.375 5.992 1.179
Ge 1.125 5.832 5.915
Ge 3.375 2.051 3.558
Ge 1.125 1.891 8.294
```

Values from the calculation:
symmetry: Pnma
uncorrected energy: -5.29 eV per atom
formation energy from the elements: -1.8 eV/f.u.
V: 336.02 Å³/cell

=====

no.,DOS at the Fermi energy (states/eV/f.u.)
1,4.4
2,4.8
3,0.0
4,4.0
5,4.0
6,2.1
7,3.6
8,6.7
9,1.2
10,1.3
11,7.3
12,3.9
13,2.3
14,1.3
15,7.8
16,1.4
17,2.1
18,8.3
19,2.9
20,3.4